[1]
Density functional theory data (GGA-PBE) for a geometry-optimized Zn4CoAg structure.

Cell lengths 4.9666, 4.9666, 4.9666 Å; angles 60.00, 60.00, 60.00 degrees
Closest atoms and distances in Å follow each position.
Fractional positions:
Zn (0.8765, 0.3745, 0.3745)  6 Zn 2.47-2.49
Zn (0.3745, 0.3745, 0.8765)  6 Zn 2.47-2.49
Zn (0.3745, 0.8765, 0.3745)  6 Zn 2.47-2.49
Zn (0.3745, 0.3745, 0.3745)  6 Zn 2.47-2.49
Co (0.0000, 0.0000, 0.0000)  12 Zn 2.91, 4 Ag 3.04
Ag (0.7500, 0.7500, 0.7500)  12 Zn 2.91, 4 Co 3.04

Properties
formation energy from the elements	153	meV/atom
SG	No. 216

***

[2]
Density functional theory data (GGA-PBE) for a geometry-optimized HAuBr3 structure.

Cell lengths 8.5799, 8.5799, 9.7162 Å; angles 71.18, 71.18, 69.94 degrees
Closest atoms and distances in Å follow each position.
Fractional positions:
H (0.5239, 0.2198, 0.7685)  1 Br 1.52
H (0.7802, 0.4761, 0.7315)  1 Br 1.52
H (0.4761, 0.7802, 0.2315)  1 Br 1.52
H (0.2198, 0.5239, 0.2685)  1 Br 1.52
Au (0.0177, 0.9823, 0.2500)  4 Br 2.47-2.48
Au (0.9823, 0.0177, 0.7500)  4 Br 2.47-2.48
Au (0.6077, 0.3923, 0.2500)  4 Br 2.61-2.85
Au (0.3923, 0.6077, 0.7500)  4 Br 2.61-2.85
Br (0.3136, 0.9295, 0.0918)  1 H 2.07
Br (0.0705, 0.6864, 0.4082)  1 H 2.07
Br (0.6864, 0.0705, 0.9082)  1 H 2.07
Br (0.9295, 0.3136, 0.5918)  1 H 2.07
Br (0.7217, 0.0461, 0.4036)  1 Au 2.47
Br (0.9539, 0.2783, 0.0964)  1 Au 2.47
Br (0.2783, 0.9539, 0.5964)  1 Au 2.47
Br (0.0461, 0.7217, 0.9036)  1 Au 2.47
Br (0.3362, 0.3853, 0.1881)  1 H 1.52
Br (0.6147, 0.6637, 0.3119)  1 H 1.52
Br (0.6637, 0.6147, 0.8119)  1 H 1.52
Br (0.3853, 0.3362, 0.6881)  1 H 1.52

Properties
energy above the most stable polymorph in this dataset	0.0	meV/atom
SG	No. 15

***

[3]
Density functional theory data (GGA-PBE) for a geometry-optimized YHo2N3 structure.

Cell lengths 4.8915, 6.9201, 10.3824 Å; angles 90.00, 90.00, 90.00 degrees
Closest atoms and distances in Å follow each position.
Fractional positions:
Y (0.2500, 0.8749, 0.0835)  6 N 2.44-2.46
Y (0.2500, 0.3749, 0.4165)  6 N 2.44-2.46
Y (0.7500, 0.6251, 0.5835)  6 N 2.44-2.46
Y (0.7500, 0.1251, 0.9165)  6 N 2.44-2.46
Ho (0.2500, 0.8750, 0.7497)  6 N 2.43-2.45
Ho (0.2500, 0.3750, 0.7503)  6 N 2.43-2.45
Ho (0.2500, 0.8753, 0.4167)  6 N 2.44-2.45
Ho (0.2500, 0.3753, 0.0833)  6 N 2.44-2.45
Ho (0.7500, 0.6247, 0.9167)  6 N 2.44-2.45
Ho (0.7500, 0.1247, 0.5833)  6 N 2.44-2.45
Ho (0.7500, 0.6250, 0.2497)  6 N 2.43-2.45
Ho (0.7500, 0.1250, 0.2503)  6 N 2.43-2.45
N (0.2500, 0.6265, 0.5838)  3 Ho 2.43-2.45, 3 Y 2.45-2.46
N (0.2500, 0.1265, 0.9162)  3 Ho 2.43-2.45, 3 Y 2.45-2.46
N (0.2500, 0.6231, 0.9158)  5 Ho 2.43-2.45, 1 Y 2.46
N (0.2500, 0.1231, 0.5842)  5 Ho 2.43-2.45, 1 Y 2.46
N (0.2500, 0.6249, 0.2504)  2 Y 2.44-2.45, 4 Ho 2.45
N (0.2500, 0.1249, 0.2496)  2 Y 2.44-2.45, 4 Ho 2.45
N (0.7500, 0.8751, 0.7504)  2 Y 2.44-2.45, 4 Ho 2.45
N (0.7500, 0.3751, 0.7496)  2 Y 2.44-2.45, 4 Ho 2.45
N (0.7500, 0.8769, 0.4158)  5 Ho 2.43-2.45, 1 Y 2.46
N (0.7500, 0.3769, 0.0842)  5 Ho 2.43-2.45, 1 Y 2.46
N (0.7500, 0.8735, 0.0838)  3 Ho 2.43-2.45, 3 Y 2.45-2.46
N (0.7500, 0.3735, 0.4162)  3 Ho 2.43-2.45, 3 Y 2.45-2.46

Properties
SG	No. 62

***

[4]
Density functional theory data (GGA-PBE) for a geometry-optimized KNa2TcCl8 structure.

Cell lengths 6.3403, 5.9043, 8.9891 Å; angles 89.87, 89.98, 93.40 degrees
Closest atoms and distances in Å follow each position.
Fractional positions:
K (0.0000, 0.0000, 0.5000)  6 Cl 3.24-3.32
Na (0.4999, 0.4993, 0.7662)  6 Cl 2.82-2.92
Na (0.5001, 0.5007, 0.2338)  6 Cl 2.82-2.92
Tc (0.0000, 0.0000, 0.0000)  6 Cl 2.36-2.37
Cl (0.1343, 0.7702, 0.1893)  1 Tc 2.36
Cl (0.6794, 0.7711, 0.9994)  1 Tc 2.37
Cl (0.8641, 0.2283, 0.1888)  1 Tc 2.36
Cl (0.8657, 0.2298, 0.8107)  1 Tc 2.36
Cl (0.3206, 0.2289, 0.0006)  1 Tc 2.37
Cl (0.1359, 0.7717, 0.8112)  1 Tc 2.36
Cl (0.5163, 0.7523, 0.5000)  2 Na 2.82, 2 Cl 2.94-2.97
Cl (0.4837, 0.2477, 0.5000)  2 Na 2.82, 2 Cl 2.94-2.97

Properties
SG	No. 2

***

[5]
Density functional theory data (GGA-PBE) for a geometry-optimized MgZrFe2 structure.

Cell lengths 3.2570, 3.2570, 5.9296 Å; angles 90.00, 90.00, 89.99 degrees
Closest atoms and distances in Å follow each position.
Fractional positions:
Fe (0.0000, 0.0000, 0.9946)  4 Zr 2.72, 4 Mg 2.76, 2 Fe 2.90-3.03
Fe (0.0000, 0.0000, 0.5054)  4 Zr 2.72, 4 Mg 2.76, 2 Fe 2.90-3.03
Mg (0.5000, 0.5000, 0.2500)  8 Fe 2.76, 2 Zr 2.96
Zr (0.5000, 0.5000, 0.7500)  8 Fe 2.72, 2 Mg 2.96

Properties
formation energy from the elements	119	meV/atom
SG	No. 123

***

[6]
Density functional theory data (GGA-PBE) for a geometry-optimized Y2Tm3Pt4 structure.

Cell lengths 6.7712, 7.5610, 8.9036 Å; angles 90.00, 112.35, 90.00 degrees
Closest atoms and distances in Å follow each position.
Fractional positions:
Y (0.0931, 0.5974, 0.1862)  5 Pt 2.99-3.20
Y (0.9069, 0.4026, 0.8138)  5 Pt 2.99-3.20
Y (0.4069, 0.0974, 0.8138)  5 Pt 2.99-3.20
Y (0.5931, 0.9026, 0.1862)  5 Pt 2.99-3.20
Tm (0.0000, 0.0000, 0.0000)  6 Pt 2.68-2.92
Tm (0.5000, 0.5000, 0.0000)  6 Pt 2.68-2.92
Tm (0.5262, 0.7500, 0.5523)  5 Pt 2.81-2.94
Tm (0.9738, 0.2500, 0.4477)  5 Pt 2.81-2.94
Tm (0.4738, 0.2500, 0.4477)  5 Pt 2.81-2.94
Tm (0.0262, 0.7500, 0.5523)  5 Pt 2.81-2.94
Pt (0.6979, 0.7500, 0.8959)  3 Tm 2.68-2.83
Pt (0.8021, 0.2500, 0.1041)  3 Tm 2.68-2.83
Pt (0.3021, 0.2500, 0.1041)  3 Tm 2.68-2.83
Pt (0.1979, 0.7500, 0.8959)  3 Tm 2.68-2.83
Pt (0.1757, 0.9494, 0.3514)  5 Tm 2.81-2.94, 1 Y 2.99
Pt (0.8243, 0.0506, 0.6486)  5 Tm 2.81-2.94, 1 Y 2.99
Pt (0.3243, 0.4494, 0.6486)  5 Tm 2.81-2.94, 1 Y 2.99
Pt (0.6757, 0.5506, 0.3514)  5 Tm 2.81-2.94, 1 Y 2.99

Properties
formation energy from the elements	-1053	meV/atom
energy above the most stable polymorph in this dataset	165.5	meV/atom
SG	No. 64

***

[7]
Density functional theory data (GGA-PBE) for a geometry-optimized PmSm3Er6 structure.

Cell lengths 6.2049, 10.9578, 10.9578 Å; angles 119.50, 90.00, 90.00 degrees
Closest atoms and distances in Å follow each position.
Fractional positions:
Pm (0.1470, 0.2060, 0.7940)  7 Er 3.25-3.47, 3 Sm 3.28-3.54
Pm (0.6470, 0.7940, 0.2060)  7 Er 3.25-3.47, 3 Sm 3.28-3.54
Sm (0.4598, 0.9365, 0.7172)  1 Pm 3.28, 6 Er 3.29-3.60, 1 Sm 3.67
Sm (0.9598, 0.7172, 0.9365)  1 Pm 3.28, 6 Er 3.29-3.60, 1 Sm 3.67
Sm (0.0669, 0.3914, 0.6086)  5 Er 3.35-3.60, 1 Pm 3.54, 2 Sm 3.67
Sm (0.5669, 0.6086, 0.3914)  5 Er 3.35-3.60, 1 Pm 3.54, 2 Sm 3.67
Sm (0.9598, 0.0635, 0.2828)  1 Pm 3.28, 6 Er 3.29-3.60, 1 Sm 3.67
Sm (0.4598, 0.2828, 0.0635)  1 Pm 3.28, 6 Er 3.29-3.60, 1 Sm 3.67
Er (0.0327, 0.7124, 0.6168)  6 Er 3.39-3.78, 4 Sm 3.41-3.60
Er (0.5327, 0.6168, 0.7124)  6 Er 3.39-3.78, 4 Sm 3.41-3.60
Er (0.3680, 0.5394, 0.9616)  5 Er 3.24-3.43, 2 Pm 3.25-3.46, 2 Sm 3.29-3.55
Er (0.8680, 0.9616, 0.5394)  5 Er 3.24-3.43, 2 Pm 3.25-3.46, 2 Sm 3.29-3.55
Er (0.4106, 0.9541, 0.0459)  1 Pm 3.37, 4 Sm 3.52-3.60, 2 Er 3.56
Er (0.6398, 0.2829, 0.7171)  4 Er 3.24-3.38, 1 Sm 3.35, 2 Pm 3.39-3.47
Er (0.1398, 0.7171, 0.2829)  4 Er 3.24-3.38, 1 Sm 3.35, 2 Pm 3.39-3.47
Er (0.9106, 0.0459, 0.9541)  1 Pm 3.37, 4 Sm 3.52-3.60, 2 Er 3.56
Er (0.3680, 0.0384, 0.4606)  5 Er 3.24-3.43, 2 Pm 3.25-3.46, 2 Sm 3.29-3.55
Er (0.8680, 0.4606, 0.0384)  5 Er 3.24-3.43, 2 Pm 3.25-3.46, 2 Sm 3.29-3.55
Er (0.0327, 0.3832, 0.2876)  6 Er 3.39-3.78, 4 Sm 3.41-3.60
Er (0.5327, 0.2876, 0.3832)  6 Er 3.39-3.78, 4 Sm 3.41-3.60

Properties
formation energy from the elements	149	meV/atom
energy above the most stable polymorph in this dataset	0.0	meV/atom
SG	No. 36

***

[8]
Density functional theory data (GGA-PBE) for a geometry-optimized Y3FeRe structure.

Cell lengths 5.0060, 5.0060, 5.0060 Å; angles 90.00, 90.00, 90.00 degrees
Closest atoms and distances in Å follow each position.
Fractional positions:
Y (0.0000, 0.5000, 0.0000)  2 Fe 2.50
Y (0.0000, 0.0000, 0.5000)  2 Fe 2.50
Y (0.5000, 0.0000, 0.0000)  2 Fe 2.50
Re (0.5000, 0.5000, 0.5000)  12 Y 3.54
Fe (0.0000, 0.0000, 0.0000)  6 Y 2.50

Properties
formation energy from the elements	801	meV/atom
energy above the most stable polymorph in this dataset	0.0	meV/atom
SG	No. 221

***

[9]
Density functional theory data (GGA-PBE) for a geometry-optimized PrTm2Hg2Pb2 structure.

Cell lengths 5.0927, 5.0927, 9.3535 Å; angles 74.20, 74.20, 60.00 degrees
Closest atoms and distances in Å follow each position.
Fractional positions:
Pr (0.0000, 0.0000, 0.0000)  6 Pb 3.41, 2 Tm 3.52
Tm (0.1322, 0.1322, 0.6034)  3 Hg 3.03
Tm (0.8678, 0.8678, 0.3966)  3 Hg 3.03
Hg (0.5613, 0.5613, 0.3161)  3 Tm 3.03, 3 Pb 3.13, 1 Hg 3.27
Hg (0.4387, 0.4387, 0.6839)  3 Tm 3.03, 3 Pb 3.13, 1 Hg 3.27
Pb (0.7313, 0.7313, 0.8060)  3 Hg 3.13, 3 Pr 3.41, 3 Tm 3.45
Pb (0.2687, 0.2687, 0.1940)  3 Hg 3.13, 3 Pr 3.41, 3 Tm 3.45

Properties
formation energy from the elements	-232	meV/atom
SG	No. 166

***

[10]
Density functional theory data (GGA-PBE) for a geometry-optimized BeNiTe structure.

Cell lengths 9.5201, 3.1525, 3.4576 Å; angles 90.00, 79.61, 90.02 degrees
Closest atoms and distances in Å follow each position.
Fractional positions:
Be (0.1659, 0.3621, 0.8565)  2 Be 2.27, 6 Ni 2.33-2.34
Be (0.3225, 0.3623, 0.2788)  6 Ni 2.25-2.35, 2 Be 2.27
Te (0.9355, 0.3618, 0.4698)  2 Ni 2.56, 2 Be 2.76-2.77
Te (0.5513, 0.8622, 0.1647)  2 Ni 2.57, 2 Be 2.66
Ni (0.1512, 0.8622, 0.3635)  6 Be 2.25-2.34
Ni (0.3484, 0.8623, 0.7656)  6 Be 2.33-2.35, 2 Ni 2.53, 2 Te 2.57

Properties
SG	No. 6

***

[11]
Density functional theory data (GGA-PBE) for a geometry-optimized BeTcHg2 structure.

Cell lengths 3.3586, 2.9968, 6.9482 Å; angles 77.52, 90.00, 90.00 degrees
Closest atoms and distances in Å follow each position.
Fractional positions:
Be (0.5000, 0.9796, 0.6677)  4 Tc 2.32, 3 Hg 2.57-2.60
Hg (0.0000, 0.8308, 0.9596)  2 Be 2.60
Hg (0.5000, 0.1678, 0.2892)  1 Be 2.57
Tc (0.0000, 0.5217, 0.5835)  4 Be 2.32

Properties
formation energy from the elements	375	meV/atom
SG	No. 6

***

[12]
Density functional theory data (GGA-PBE) for a geometry-optimized Ta2MoPt structure.

Cell lengths 2.7717, 2.7717, 8.7989 Å; angles 90.00, 90.00, 90.00 degrees
Closest atoms and distances in Å follow each position.
Fractional positions:
Mo (0.5000, 0.5000, 0.2500)  4 Mo 2.77, 8 Ta 3.03
Pt (0.5000, 0.5000, 0.7500)  4 Pt 2.77, 8 Ta 2.87
Ta (0.0000, 0.0000, 0.9877)  4 Ta 2.77, 4 Pt 2.87, 4 Mo 3.03
Ta (0.0000, 0.0000, 0.5123)  4 Ta 2.77, 4 Pt 2.87, 4 Mo 3.03

Properties
formation energy from the elements	-239	meV/atom
SG	No. 123

***

Total moment readings, ordered: 0.84, 0.00, 0.00, 3.23, 2.52, 0.00, 0.00, 1.78, 0.00, 0.00, 0.00, 0.00 μB per formula unit
Uncorrected energy readings, ordered: -2.36, -2.46, -8.49, -3.58, -6.65, -6.66, -4.48, -7.26, -3.34, -4.40, -3.30, -10.38 eV per atom